DFT (PBE) results for Sr2Cd6InAu after structural relaxation.

Summary:
- calculated formation energy (eV/atom) = -0.220
- V (Å³/cell) = 580
- crystal system = orthorhombic
- final energy (eV/atom) = -1.7069
- symmetry = Pmmn, No. 59

Unit cell a=8.097 b=7.270 c=9.845 alpha=90.00 beta=90.00 gamma=90.00
Fractional positions:
In 0.500 0.432 0.000
Cd 0.328 0.026 0.000
Sr 0.500 0.721 0.277
Cd 0.172 0.974 0.500
Cd 0.687 0.380 0.500
Cd 0.000 0.783 0.252
In 0.000 0.568 0.500
Sr 0.500 0.721 0.723
Cd 0.187 0.620 0.000
Cd 0.313 0.380 0.500
Cd 0.672 0.026 0.000
Cd 0.828 0.974 0.500
Au 0.500 0.031 0.500
Sr 0.000 0.279 0.777
Cd 0.500 0.217 0.752
Cd 0.500 0.217 0.248
Cd 0.813 0.620 0.000
Cd 0.000 0.783 0.748
Sr 0.000 0.279 0.223
Au 0.000 0.969 0.000

***

DFT (PBE) results for CsAu2Br6 after structural relaxation.

Summary:
- V (Å³/cell) = 366
- crystal system = monoclinic
- final energy (eV/atom) = -2.4189
- formation energy from raw total energies (eV/atom) = -0.481
- symmetry = C2/m, No. 12

Unit cell a=5.096 b=9.283 c=8.482 alpha=80.09 beta=72.52 gamma=74.07
Fractional positions:
Br 0.323 0.783 0.571
Br 0.311 0.272 0.106
Cs 0.000 0.500 0.500
Br 0.999 0.177 0.824
Au 0.834 0.207 0.124
Br 0.677 0.217 0.429
Br 0.001 0.823 0.176
Br 0.689 0.728 0.894
Au 0.166 0.793 0.876

***

DFT (PBE) results for PrDy12Er6 after structural relaxation.

Summary:
- calculated formation energy (eV/atom) = 0.156
- V (Å³/cell) = 613
- crystal system = trigonal
- final energy (eV/atom) = -4.4433
- relative energy among the computed polymorphs (eV/atom) = 0.000
- symmetry = R-3, No. 148

Unit cell a=8.496 b=8.496 c=8.496 alpha=88.46 beta=88.46 gamma=88.46
Fractional positions:
Dy 0.435 0.774 0.543
Er 0.311 0.743 0.906
Dy 0.208 0.357 0.010
Er 0.689 0.257 0.094
Dy 0.990 0.792 0.643
Dy 0.565 0.226 0.457
Pr 0.000 0.000 0.000
Er 0.743 0.906 0.311
Dy 0.792 0.643 0.990
Dy 0.010 0.208 0.357
Er 0.906 0.311 0.743
Er 0.257 0.094 0.689
Dy 0.643 0.990 0.792
Dy 0.357 0.010 0.208
Dy 0.226 0.457 0.565
Dy 0.774 0.543 0.435
Dy 0.457 0.565 0.226
Dy 0.543 0.435 0.774
Er 0.094 0.689 0.257

***

DFT (PBE) results for Sc5Cd4Cu after structural relaxation.

Summary:
- calculated formation energy (eV/atom) = -0.277
- V (Å³/cell) = 213
- crystal system = tetragonal
- final energy (eV/atom) = -4.2180
- symmetry = P4/mmm, No. 123

Unit cell a=3.436 b=3.436 c=18.014 alpha=90.00 beta=90.00 gamma=90.00
Fractional positions:
Sc 0.500 0.500 0.085
Sc 0.500 0.500 0.294
Cd 0.000 0.000 0.397
Cd 0.000 0.000 0.191
Sc 0.500 0.500 0.915
Sc 0.500 0.500 0.500
Cu 0.000 0.000 0.000
Cd 0.000 0.000 0.809
Sc 0.500 0.500 0.706
Cd 0.000 0.000 0.603

***

DFT (PBE) results for Tm2Si4Ru3 after structural relaxation.

Summary:
- V (Å³/cell) = 284
- crystal system = monoclinic
- final energy (eV/atom) = -7.2790
- formation energy from raw total energies (eV/atom) = -0.783
- symmetry = P2_1/c, No. 14

Unit cell a=6.931 b=6.617 c=6.637 alpha=90.00 beta=90.00 gamma=110.98
Fractional positions:
Si 0.875 0.107 0.566
Si 0.125 0.893 0.434
Tm 0.440 0.811 0.671
Si 0.123 0.476 0.850
Si 0.623 0.476 0.650
Tm 0.060 0.189 0.171
Si 0.625 0.893 0.066
Si 0.375 0.107 0.934
Ru 0.500 0.500 0.000
Ru 0.246 0.763 0.127
Ru 0.000 0.500 0.500
Si 0.377 0.524 0.350
Tm 0.940 0.811 0.829
Ru 0.746 0.763 0.373
Ru 0.754 0.237 0.873
Si 0.877 0.524 0.150
Tm 0.560 0.189 0.329
Ru 0.254 0.237 0.627

***

DFT (PBE) results for NbFe2Pd2 after structural relaxation.

Summary:
- calculated formation energy (eV/atom) = 0.086
- V (Å³/cell) = 148
- crystal system = tetragonal
- final energy (eV/atom) = -7.3897
- symmetry = P4/mbm, No. 127

Unit cell a=6.343 b=6.343 c=3.680 alpha=90.00 beta=90.00 gamma=90.00
Each line ends with the local moment (μB).
Fractional positions:
Fe 0.370 0.870 0.000  2.18
Fe 0.870 0.630 0.000  2.20
Fe 0.630 0.130 0.000  2.19
Nb 0.500 0.500 0.000  -0.86
Pd 0.835 0.335 0.500  0.12
Fe 0.130 0.370 0.000  2.20
Nb 0.000 0.000 0.000  -0.86
Pd 0.165 0.665 0.500  0.12
Pd 0.665 0.835 0.500  0.13
Pd 0.335 0.165 0.500  0.13

***

DFT (PBE) results for Cs3BaCa2Br9 after structural relaxation.

Summary:
- V (Å³/cell) = 636
- crystal system = trigonal
- final energy (eV/atom) = -3.5452
- formation energy from raw total energies (eV/atom) = -1.976
- symmetry = P-3m1, No. 164

Unit cell a=8.329 b=8.329 c=10.581 alpha=90.00 beta=90.00 gamma=120.00
Fractional positions:
Br 0.500 0.500 0.000
Br 0.500 0.000 0.000
Br 0.342 0.171 0.688
Ba 0.000 0.000 0.500
Br 0.829 0.171 0.688
Br 0.658 0.829 0.312
Ca 0.667 0.333 0.843
Br 0.829 0.658 0.688
Br 0.171 0.829 0.312
Br 0.171 0.342 0.312
Br 0.000 0.500 0.000
Cs 0.667 0.333 0.295
Ca 0.333 0.667 0.157
Cs 0.000 0.000 0.000
Cs 0.333 0.667 0.705

***

DFT (PBE) results for Sr2Be2Si after structural relaxation.

Summary:
- V (Å³/cell) = 116
- crystal system = tetragonal
- final energy (eV/atom) = -3.0053
- formation energy from raw total energies (eV/atom) = 0.242
- relative energy among the computed polymorphs (eV/atom) = 0.004
- symmetry = I4/mmm, No. 139

Unit cell a=6.001 b=6.001 c=5.332 alpha=55.75 beta=55.75 gamma=90.00
Fractional positions:
Be 0.344 0.344 0.313
Be 0.656 0.656 0.687
Sr 0.250 0.750 0.500
Sr 0.750 0.250 0.500
Si 0.000 0.000 0.000

***

DFT (PBE) results for NpBeGaO6 after structural relaxation.

Summary:
- V (Å³/cell) = 189
- crystal system = trigonal
- final energy (eV/atom) = -7.5936
- formation energy from raw total energies (eV/atom) = -2.100
- symmetry = P-31c, No. 163

Unit cell a=4.970 b=4.970 c=8.825 alpha=90.00 beta=90.00 gamma=120.00
Fractional positions:
O 0.652 0.674 0.631
Ga 0.000 0.000 0.000
O 0.652 0.978 0.869
Ga 0.000 0.000 0.500
Be 0.667 0.333 0.250
O 0.674 0.652 0.131
Np 0.333 0.667 0.250
Np 0.667 0.333 0.750
O 0.348 0.022 0.131
O 0.022 0.348 0.631
O 0.978 0.326 0.131
O 0.978 0.652 0.369
O 0.326 0.978 0.631
O 0.348 0.326 0.369
O 0.022 0.674 0.869
O 0.326 0.348 0.869
Be 0.333 0.667 0.750
O 0.674 0.022 0.369

***

DFT (PBE) results for CoGeMo2As after structural relaxation.

Summary:
- calculated formation energy (eV/atom) = 1.218
- V (Å³/cell) = 91
- crystal system = tetragonal
- final energy (eV/atom) = -6.3887
- symmetry = P4/mmm, No. 123

Unit cell a=4.683 b=4.159 c=4.683 alpha=90.00 beta=90.00 gamma=90.00
Each line ends with the local moment (μB).
Fractional positions:
Mo 0.000 0.000 0.500  0.08
Co 0.000 0.500 0.000  -0.20
Ge 0.000 0.000 0.000  0.00
As 0.500 0.500 0.500  0.00
Mo 0.500 0.000 0.000  0.10

***

DFT (PBE) results for TbSm2USb4 after structural relaxation.

Summary:
- V (Å³/cell) = 246
- crystal system = monoclinic
- final energy (eV/atom) = -6.1460
- formation energy from raw total energies (eV/atom) = -0.915
- symmetry = P2/m, No. 10

Unit cell a=4.408 b=7.699 c=7.663 alpha=109.07 beta=90.00 gamma=90.00
Each line ends with the local moment (μB).
Fractional positions:
Sm 0.000 0.500 0.500  0.02
Tb 0.000 0.000 0.000  0.00
Sb 0.000 0.748 0.245  -0.04
Sb 0.500 0.250 0.244  -0.02
Sb 0.500 0.750 0.756  -0.02
Sb 0.000 0.252 0.755  -0.04
U 0.500 0.500 0.000  2.40
Sm 0.500 0.000 0.500  0.02

***

DFT (PBE) results for ScZnTcMo after structural relaxation.

Summary:
- calculated formation energy (eV/atom) = -0.113
- V (Å³/cell) = 64
- crystal system = cubic
- final energy (eV/atom) = -7.3136
- symmetry = F-43m, No. 216

Unit cell a=4.497 b=4.497 c=4.497 alpha=60.00 beta=60.00 gamma=60.00
Fractional positions:
Tc 0.750 0.750 0.750
Zn 0.250 0.250 0.250
Sc 0.000 0.000 0.000
Mo 0.500 0.500 0.500